A crystal of Li2YCu relaxed with PBEsol. Source: Alexandria via LeMat-Bulk, functional SCAN.

Lattice parameters (Å, degrees): 4.447 4.471 5.000 116.30 90.00 119.83
Fractional coordinates of all 4 atoms:
Cu1 0.721 0.442 0.164
Y1 0.496 0.993 0.489
Li1 0.275 0.550 0.825
Li2 0.007 0.015 0.022

Computed properties:
ρ: 3725 kg/m3
E_tot: -11.928 eV per atom
E_form: 0.03 eV/atom